Material: SrCr2Hg
Method: DFT, PBE
State: relaxed

Structure (POSCAR):
```
SrCr2Hg
1.0
4.609 0.000 0.000
0.000 4.609 0.000
0.000 0.000 4.572
Sr Cr Hg
1 2 1
direct
0.000 0.000 0.000
0.000 0.500 0.500
0.500 0.000 0.500
0.500 0.500 0.000
```

Properties
For the energy of formation, the calculation gives 2.77 eV/f.u. As for the total magnetic moment: 8.7 μB/cell. The calculation puts the uncorrected energy at -0.1696 Ha/atom. The value obtained for the volume is 97 Å³ per cell. The calculation puts the excess energy over the best structure of this formula in the dataset at 394.4 meV/atom.

---

Material: Zr3In2Hg
Method: DFT, PBE
State: relaxed

Structure (POSCAR):
```
Zr3In2Hg
1.0
3.167 0.000 0.000
0.000 3.167 0.000
0.000 0.000 13.110
Zr In Hg
3 2 1
direct
0.000 0.000 0.000
0.000 0.000 0.336
0.000 0.000 0.664
0.500 0.500 0.169
0.500 0.500 0.831
0.500 0.500 0.500
```

Properties
For the energy of formation, the calculation gives -1.65 eV/f.u. As for the total magnetic moment: 0.0 μB/cell. The calculation puts the uncorrected energy at -0.2026 Ha/atom. The value obtained for the volume is 131 Å³ per cell.

---

Material: WAuCl2
Method: DFT, PBE
State: relaxed

Structure (POSCAR):
```
WAuCl2
1.0
-1.455 2.476 6.769
1.455 -2.476 6.769
1.455 2.476 -6.769
W Au Cl
1 1 2
direct
0.000 0.000 0.000
0.500 0.500 0.000
0.147 0.647 0.500
0.853 0.353 0.500
```

Properties
As for the energy relative to the elements, uncorrected: -0.062 eV/atom. As for the total magnetic moment: 0.8 μB/cell. The calculation puts the uncorrected energy at -0.1853 Ha/atom. The value obtained for the volume is 98 Å³ per cell. The calculation puts the excess energy over the best structure of this formula in the dataset at 0.0 meV/atom.

---

Material: CrSnP2
Method: DFT, PBE
State: relaxed

Structure (POSCAR):
```
CrSnP2
1.0
-2.828 2.828 5.732
2.828 -2.828 5.732
2.828 2.828 -5.732
Cr Sn P
2 2 4
direct
0.000 0.000 0.000
0.750 0.250 0.500
0.250 0.750 0.500
0.500 0.500 0.000
0.079 0.625 0.954
0.375 0.329 0.454
0.671 0.125 0.046
0.875 0.921 0.546
```

Properties
For the energy of formation, the calculation gives 0.22 eV/f.u. As for the total magnetic moment: 5.6 μB/cell. The calculation puts the uncorrected energy at -0.2226 Ha/atom. The value obtained for the volume is 183 Å³ per cell.

---

Material: LaCePr
Method: DFT, PBE
State: relaxed

Structure (POSCAR):
```
LaCePr
1.0
5.761 0.000 0.000
-2.881 4.990 0.000
0.000 0.000 3.568
La Ce Pr
1 1 1
direct
0.000 0.000 0.000
0.667 0.333 0.500
0.333 0.667 0.500
```

Properties
For the energy of formation, the calculation gives 0.37 eV/f.u. As for the total magnetic moment: 0.9 μB/cell. The calculation puts the uncorrected energy at -0.1871 Ha/atom. The value obtained for the volume is 103 Å³ per cell. The calculation puts the excess energy over the best structure of this formula in the dataset at 67.4 meV/atom.

---

Material: CoPW2
Method: DFT, PBE
State: relaxed

Structure (POSCAR):
```
CoPW2
1.0
3.170 0.000 0.000
0.000 3.170 0.000
0.000 0.000 5.479
Co P W
1 1 2
direct
0.000 0.000 0.000
0.500 0.500 0.260
0.000 0.000 0.478
0.500 0.500 0.802
```

Properties
For the energy of formation, the calculation gives 0.03 eV/f.u. As for the total magnetic moment: 0.0 μB/cell. The calculation puts the uncorrected energy at -0.3527 Ha/atom. The value obtained for the volume is 55 Å³ per cell.

---

Material: NaCd3Au2
Method: DFT, PBE
State: relaxed

Structure (POSCAR):
```
NaCd3Au2
1.0
8.206 -2.229 0.000
8.206 2.229 0.000
-4.826 0.000 7.479
Na Cd Au
2 6 4
direct
0.127 0.127 0.127
0.873 0.873 0.873
0.000 0.000 0.342
0.000 0.000 0.658
0.319 0.319 0.115
0.319 0.319 0.523
0.681 0.681 0.477
0.681 0.681 0.885
0.197 0.197 0.698
0.500 0.500 0.151
0.500 0.500 0.849
0.803 0.803 0.302
```

Properties
For the energy of formation, the calculation gives -1.28 eV/f.u. As for the total magnetic moment: 0.0 μB/cell. The calculation puts the uncorrected energy at -0.0729 Ha/atom. The value obtained for the volume is 274 Å³ per cell.

---

Material: Ti2InCo
Method: DFT, PBE
State: relaxed

Structure (POSCAR):
```
Ti2InCo
1.0
3.954 0.000 0.000
0.000 3.954 0.000
0.000 0.000 4.095
Ti In Co
2 1 1
direct
0.000 0.500 0.000
0.500 0.000 0.000
0.000 0.000 0.500
0.500 0.500 0.500
```

Properties
For the energy of formation, the calculation gives -0.31 eV/f.u. As for the total magnetic moment: 1.1 μB/cell. The calculation puts the uncorrected energy at -0.2383 Ha/atom. The value obtained for the volume is 64 Å³ per cell.

---

> Number 1 is which compound?

SrCr2Hg

---

> Which of these has the highest uncorrected energy?

NaCd3Au2